Record 1
BaRhSe2Br (GGA-PBEsol, relaxed); E_tot = -15.6 eV for the cell shown; magnetic moment = 4.0 μB/f.u.; energy relative to the elements, uncorrected = 0.843 eV/atom; N(E_F) = 10.4 states/eV/cell
1.0
5.9998 0.0000 0.0000
0.0000 5.9998 0.0000
0.0000 0.0000 5.9694
Ba Rh Se Br
1 1 2 1
Direct
0.0000 0.0000 0.0000
0.5000 0.5000 0.5000
0.0000 0.5000 0.0000
0.5000 0.0000 0.0000
0.0000 0.0000 0.5000

Record 2
ScAlAs (GGA-PBEsol, relaxed); E_tot = -69.2 eV for the cell shown; magnetic moment = 0.0 μB/f.u.; formation energy from the elements = -0.50 eV/atom; N(E_F) = 9.4 states/eV/cell
1.0
4.5340 0.0000 0.0000
0.0000 5.0509 0.0000
0.0000 0.0000 9.5074
Sc Al As
4 4 4
Direct
0.0000 0.0000 0.0000
0.0000 0.5000 0.5000
0.5000 0.0000 0.5000
0.5000 0.5000 0.0000
0.0000 0.0000 0.3080
0.0000 0.5000 0.8080
0.5000 0.0000 0.8080
0.5000 0.5000 0.3080
0.0000 0.0000 0.6709
0.0000 0.5000 0.1709
0.5000 0.0000 0.1709
0.5000 0.5000 0.6709

Record 3
H8PtN2Cl2O2 (GGA-PBEsol, relaxed); E_tot = -149.9 eV for the cell shown; magnetic moment = 0.0 μB/f.u.; N(E_F) = 0.0 states/eV/cell
1.0
6.3967 0.0000 0.0000
0.0000 7.4452 0.0000
-0.0663 0.0000 6.4180
H Pt N Cl O
16 2 4 4 4
Direct
0.1094 0.0747 0.1442
0.1094 0.4253 0.1442
0.1469 0.0827 0.4052
0.1469 0.4173 0.4052
0.1660 0.7500 0.8866
0.1881 0.2500 0.7031
0.3523 0.0673 0.2462
0.3523 0.4327 0.2462
0.6477 0.5673 0.7538
0.6477 0.9327 0.7538
0.8119 0.7500 0.2969
0.8340 0.2500 0.1134
0.8531 0.5827 0.5948
0.8531 0.9173 0.5948
0.8906 0.5747 0.8558
0.8906 0.9253 0.8558
0.2006 0.7500 0.2701
0.7994 0.2500 0.7299
0.2006 0.0235 0.2667
0.2006 0.4765 0.2667
0.7994 0.5235 0.7333
0.7994 0.9765 0.7333
0.3515 0.7500 0.6010
0.4772 0.2500 0.8910
0.5228 0.7500 0.1090
0.6485 0.2500 0.3990
0.0543 0.7500 0.9929
0.0789 0.2500 0.5923
0.9211 0.7500 0.4077
0.9457 0.2500 0.0071

Record 4
Li2MgCd (GGA-PBEsol, relaxed); E_tot = -7.4 eV for the cell shown; magnetic moment = 0.0 μB/f.u.; energy above the most stable polymorph in this dataset = 5.5 kJ per mole of atoms; formation energy from the elements = -0.13 eV/atom; N(E_F) = 1.7 states/eV/cell
1.0
2.9490 0.0000 0.0000
0.0000 4.7894 0.0000
-0.8512 0.0000 5.3844
Li Mg Cd
2 1 1
Direct
0.2443 0.0000 0.2612
0.7557 0.0000 0.7388
0.5000 0.5000 0.0000
0.0000 0.5000 0.5000

Record 5
ZrSi2Hg (GGA-PBEsol, relaxed); E_tot = -82.8 eV for the cell shown; magnetic moment = 0.0 μB/f.u.; energy above the most stable polymorph in this dataset = 32.9 kJ per mole of atoms; energy relative to the elements, uncorrected = 0.111 eV/atom; N(E_F) = 8.6 states/eV/cell
1.0
7.1427 0.0000 0.0000
0.0000 7.1427 0.0000
0.0000 0.0000 5.9440
Zr Si Hg
4 8 4
Direct
0.0000 0.0000 0.0000
0.0000 0.5000 0.2500
0.5000 0.0000 0.7500
0.5000 0.5000 0.5000
0.2308 0.2500 0.6250
0.2500 0.7308 0.8750
0.2500 0.7692 0.3750
0.2692 0.2500 0.1250
0.7308 0.7500 0.1250
0.7500 0.2308 0.3750
0.7500 0.2692 0.8750
0.7692 0.7500 0.6250
0.0000 0.0000 0.5000
0.0000 0.5000 0.7500
0.5000 0.0000 0.2500
0.5000 0.5000 0.0000

Record 6
ScTaHg2 (GGA-PBEsol, relaxed); E_tot = -40.0 eV for the cell shown; magnetic moment = 0.0 μB/f.u.; formation energy from the elements = 0.08 eV/atom; N(E_F) = 6.5 states/eV/cell
1.0
9.8016 0.0000 0.0000
0.0000 3.0423 0.0000
-0.9246 0.0000 5.3376
Sc Ta Hg
2 2 4
Direct
0.0000 0.0000 0.0000
0.5000 0.5000 0.0000
0.0000 0.5000 0.5000
0.5000 0.0000 0.5000
0.2498 0.0000 0.7427
0.2502 0.5000 0.2573
0.7502 0.0000 0.2573
0.7498 0.5000 0.7427